# 1
The following is a PBE calculation of a relaxed LiIn2Cu2 crystal, from Alexandria.

Symmetry: P4/mbm (127)
ΔH_f (0 K): 0.022 eV/atom
Theoretical density: 6.580 Mg/m³

POSCAR file:
```
LiIn2Cu2
1.0
7.7457 0.0000 0.0000
0.0000 7.7457 0.0000
0.0000 0.0000 3.0593
Li In Cu
2 4 4
direct
0.0000 0.0000 0.0000
0.5000 0.5000 0.0000
0.1442 0.3558 0.0000
0.3558 0.8558 0.0000
0.6442 0.1442 0.0000
0.8558 0.6442 0.0000
0.1561 0.6561 0.5000
0.3439 0.1561 0.5000
0.6561 0.8439 0.5000
0.8439 0.3439 0.5000
```

=====

# 2
The following is a PBE calculation of a relaxed Li2In2Cu crystal, from Alexandria.

Symmetry: P4/mbm (127)
ΔH_f (0 K): -0.015 eV/atom
Theoretical density: 5.642 Mg/m³

POSCAR file:
```
Li2In2Cu
1.0
6.7627 0.0000 0.0000
0.0000 6.7627 0.0000
0.0000 0.0000 3.9523
Li In Cu
4 4 2
direct
0.1394 0.3606 0.0000
0.3606 0.8606 0.0000
0.6394 0.1394 0.0000
0.8606 0.6394 0.0000
0.1683 0.6683 0.5000
0.3317 0.1683 0.5000
0.6683 0.8317 0.5000
0.8317 0.3317 0.5000
0.0000 0.0000 0.0000
0.5000 0.5000 0.0000
```

=====

# 3
The following is a PBE calculation of a relaxed LiIn2Cu crystal, from Alexandria.

Symmetry: Pnma (62)
ΔH_f (0 K): -0.117 eV/atom
Theoretical density: 6.138 Mg/m³

POSCAR file:
```
LiIn2Cu
1.0
15.0633 0.0000 0.0000
0.0000 7.7450 0.0000
0.0000 0.0000 5.5674
Li In Cu
8 16 8
direct
0.1115 0.2500 0.2496
0.1393 0.7500 0.0304
0.3607 0.2500 0.5304
0.3885 0.7500 0.7496
0.6115 0.2500 0.2504
0.6393 0.7500 0.4696
0.8607 0.2500 0.9696
0.8885 0.7500 0.7504
0.0318 0.0529 0.7611
0.0318 0.4471 0.7611
0.2150 0.5502 0.5255
0.2150 0.9498 0.5255
0.2850 0.0502 0.0255
0.2850 0.4498 0.0255
0.4682 0.5529 0.2611
0.4682 0.9471 0.2611
0.5318 0.0529 0.7389
0.5318 0.4471 0.7389
0.7150 0.5502 0.9745
0.7150 0.9498 0.9745
0.7850 0.0502 0.4745
0.7850 0.4498 0.4745
0.9682 0.5529 0.2389
0.9682 0.9471 0.2389
0.0679 0.7500 0.5416
0.1838 0.2500 0.7431
0.3162 0.7500 0.2431
0.4321 0.2500 0.0416
0.5679 0.7500 0.9584
0.6838 0.2500 0.7569
0.8162 0.7500 0.2569
0.9321 0.2500 0.4584
```

=====

# 4
The following is a PBE calculation of a relaxed Li2InCu crystal, from Alexandria.

Symmetry: I-42d (122)
ΔH_f (0 K): 0.009 eV/atom
Theoretical density: 4.477 Mg/m³

POSCAR file:
```
Li2InCu
1.0
-3.7015 3.7015 2.6019
3.7015 -3.7015 2.6019
3.7015 3.7015 -2.6019
Li In Cu
4 2 2
direct
0.0855 0.1250 0.4605
0.3750 0.9145 0.0395
0.6645 0.6250 0.5395
0.8750 0.3355 0.9605
0.2500 0.7500 0.5000
0.5000 0.5000 0.0000
0.0000 0.0000 0.0000
0.7500 0.2500 0.5000
```

=====

# 5
The following is a PBE calculation of a relaxed Li4InCu crystal, from Alexandria.

Symmetry: C2/m (12)
ΔH_f (0 K): -0.108 eV/atom
Theoretical density: 3.202 Mg/m³

POSCAR file:
```
Li4InCu
1.0
7.0441 -3.2724 0.0000
7.0441 3.2724 0.0000
-1.6232 0.0000 4.6378
Li In Cu
8 2 2
direct
0.1054 0.6467 0.3794
0.1818 0.8182 0.0000
0.3258 0.3258 0.8209
0.3533 0.8946 0.6206
0.6467 0.1054 0.3794
0.6742 0.6742 0.1791
0.8182 0.1818 0.0000
0.8946 0.3533 0.6206
0.2006 0.2006 0.1962
0.7994 0.7994 0.8038
0.4984 0.4984 0.2550
0.5016 0.5016 0.7450
```

=====

# 6
The following is a PBE calculation of a relaxed LiIn2Cu crystal, from Alexandria.

Symmetry: P2/m (10)
ΔH_f (0 K): -0.084 eV/atom
Theoretical density: 6.555 Mg/m³

POSCAR file:
```
LiIn2Cu
1.0
3.2014 0.0000 0.0000
0.0000 3.3967 0.0000
-0.1595 0.0000 6.9917
Li In Cu
1 2 1
direct
0.0000 0.0000 0.0000
0.5000 0.5000 0.2669
0.5000 0.5000 0.7331
0.0000 0.0000 0.5000
```

=====

# 7
The following is a PBE calculation of a relaxed Li7In3Cu crystal, from Alexandria.

Symmetry: Cmcm (63)
ΔH_f (0 K): -0.139 eV/atom
Theoretical density: 3.610 Mg/m³

POSCAR file:
```
Li7In3Cu
1.0
1.4933 -10.1738 0.0000
1.4933 10.1738 0.0000
0.0000 0.0000 13.8219
Li In Cu
14 6 2
direct
0.0213 0.9787 0.6442
0.0213 0.9787 0.8558
0.1089 0.8911 0.2500
0.1584 0.8416 0.6147
0.1584 0.8416 0.8853
0.1994 0.8006 0.0719
0.1994 0.8006 0.4281
0.8006 0.1994 0.5719
0.8006 0.1994 0.9281
0.8416 0.1584 0.1147
0.8416 0.1584 0.3853
0.8911 0.1089 0.7500
0.9787 0.0213 0.1442
0.9787 0.0213 0.3558
0.2590 0.7410 0.2500
0.4227 0.5773 0.5324
0.4227 0.5773 0.9676
0.5773 0.4227 0.0324
0.5773 0.4227 0.4676
0.7410 0.2590 0.7500
0.3960 0.6040 0.2500
0.6040 0.3960 0.7500
```

=====

# 8
The following is a PBE calculation of a relaxed Li2In2Cu crystal, from Alexandria.

Symmetry: P4/mbm (127)
ΔH_f (0 K): -0.062 eV/atom
Theoretical density: 5.357 Mg/m³

POSCAR file:
```
Li2In2Cu
1.0
7.1941 0.0000 0.0000
0.0000 7.1941 0.0000
0.0000 0.0000 3.6781
Li In Cu
4 4 2
direct
0.1512 0.3488 0.0000
0.3488 0.8488 0.0000
0.6512 0.1512 0.0000
0.8488 0.6512 0.0000
0.1524 0.6524 0.5000
0.3476 0.1524 0.5000
0.6524 0.8476 0.5000
0.8476 0.3476 0.5000
0.0000 0.0000 0.5000
0.5000 0.5000 0.5000
```

=====

# 9
The following is a PBE calculation of a relaxed Li2InCu crystal, from Alexandria.

Symmetry: P4/mmm (123)
ΔH_f (0 K): -0.127 eV/atom
Theoretical density: 4.965 Mg/m³

POSCAR file:
```
Li2InCu
1.0
3.1882 0.0000 0.0000
0.0000 3.1882 0.0000
0.0000 0.0000 6.3260
Li In Cu
2 1 1
direct
0.0000 0.0000 0.2165
0.0000 0.0000 0.7835
0.5000 0.5000 0.5000
0.5000 0.5000 0.0000
```

=====

# 10
The following is a PBE calculation of a relaxed Li4In5Cu crystal, from Alexandria.

Symmetry: P4/mmm (123)
ΔH_f (0 K): -0.197 eV/atom
Theoretical density: 5.684 Mg/m³

POSCAR file:
```
Li4In5Cu
1.0
3.4116 0.0000 0.0000
0.0000 3.4116 0.0000
0.0000 0.0000 16.7030
Li In Cu
4 5 1
direct
0.0000 0.0000 0.1037
0.0000 0.0000 0.3083
0.0000 0.0000 0.6917
0.0000 0.0000 0.8963
0.5000 0.5000 0.0000
0.5000 0.5000 0.2058
0.5000 0.5000 0.4072
0.5000 0.5000 0.5928
0.5000 0.5000 0.7942
0.0000 0.0000 0.5000
```

=====

# 11
The following is a PBE calculation of a relaxed LiIn2Cu2 crystal, from Alexandria.

Symmetry: P4/mbm (127)
ΔH_f (0 K): -0.042 eV/atom
Theoretical density: 6.741 Mg/m³

POSCAR file:
```
LiIn2Cu2
1.0
7.5773 0.0000 0.0000
0.0000 7.5773 0.0000
0.0000 0.0000 3.1208
Li In Cu
2 4 4
direct
0.0000 0.0000 0.0000
0.5000 0.5000 0.0000
0.1780 0.3220 0.5000
0.3220 0.8220 0.5000
0.6780 0.1780 0.5000
0.8220 0.6780 0.5000
0.1189 0.6189 0.0000
0.3811 0.1189 0.0000
0.6189 0.8811 0.0000
0.8811 0.3811 0.0000
```

=====

# 12
The following is a PBE calculation of a relaxed LiIn2Cu crystal, from Alexandria.

Symmetry: P4/mmm (123)
ΔH_f (0 K): -0.092 eV/atom
Theoretical density: 6.736 Mg/m³

POSCAR file:
```
LiIn2Cu
1.0
4.4316 0.0000 0.0000
0.0000 4.4316 0.0000
0.0000 0.0000 3.7674
Li In Cu
1 2 1
direct
0.0000 0.0000 0.0000
0.0000 0.5000 0.5000
0.5000 0.0000 0.5000
0.5000 0.5000 0.0000
```

=====

# 13
The following is a PBE calculation of a relaxed Li4InCu crystal, from Alexandria.

Symmetry: P2_1/m (11)
ΔH_f (0 K): -0.152 eV/atom
Theoretical density: 3.522 Mg/m³

POSCAR file:
```
Li4InCu
1.0
5.3770 0.0000 0.0000
0.0000 4.5606 0.0000
-2.6233 0.0000 7.9262
Li In Cu
8 2 2
direct
0.0394 0.2500 0.0844
0.2039 0.2500 0.4181
0.2853 0.7500 0.5829
0.4558 0.7500 0.9157
0.5442 0.2500 0.0843
0.7147 0.2500 0.4171
0.7961 0.7500 0.5819
0.9606 0.7500 0.9156
0.3743 0.7500 0.2492
0.6257 0.2500 0.7508
0.1242 0.2500 0.7483
0.8758 0.7500 0.2517
```

=====

# 14
The following is a PBE calculation of a relaxed LiIn6Cu6 crystal, from Alexandria.

Symmetry: Immm (71)
ΔH_f (0 K): -0.046 eV/atom
Theoretical density: 7.745 Mg/m³

POSCAR file:
```
LiIn6Cu6
1.0
-2.7283 4.5850 4.6155
2.7283 -4.5850 4.6155
2.7283 4.5850 -4.6155
Li In Cu
1 6 6
direct
0.0000 0.0000 0.0000
0.1704 0.6704 0.5000
0.3308 0.0000 0.3308
0.3336 0.3336 0.0000
0.6664 0.6664 0.0000
0.6692 0.0000 0.6692
0.8296 0.3296 0.5000
0.0000 0.0000 0.5000
0.0000 0.5000 0.0000
0.2460 0.5000 0.7460
0.5000 0.0000 0.0000
0.5000 0.5000 0.5000
0.7540 0.5000 0.2540
```

=====

# 15
The following is a PBE calculation of a relaxed Li6In12Cu crystal, from Alexandria.

Symmetry: R-3 (148)
ΔH_f (0 K): -0.139 eV/atom
Theoretical density: 5.834 Mg/m³

POSCAR file:
```
Li6In12Cu
1.0
5.3368 3.0812 4.2785
-5.3368 3.0812 4.2785
0.0000 -6.1624 4.2785
Li In Cu
6 12 1
direct
0.2249 0.3914 0.7608
0.2392 0.7751 0.6086
0.3914 0.7608 0.2249
0.6086 0.2392 0.7751
0.7608 0.2249 0.3914
0.7751 0.6086 0.2392
0.0474 0.9413 0.2964
0.0587 0.7036 0.9526
0.1436 0.4854 0.3592
0.2964 0.0474 0.9413
0.3592 0.1436 0.4854
0.4854 0.3592 0.1436
0.5146 0.6408 0.8564
0.6408 0.8564 0.5146
0.7036 0.9526 0.0587
0.8564 0.5146 0.6408
0.9413 0.2964 0.0474
0.9526 0.0587 0.7036
0.5000 0.5000 0.5000
```

=====

# 16
The following is a PBE calculation of a relaxed Li3In4Cu4 crystal, from Alexandria.

Symmetry: Immm (71)
ΔH_f (0 K): -0.009 eV/atom
Theoretical density: 5.743 Mg/m³

POSCAR file:
```
Li3In4Cu4
1.0
-2.2265 3.7704 6.3230
2.2265 -3.7704 6.3230
2.2265 3.7704 -6.3230
Li In Cu
3 4 4
direct
0.0000 0.0000 0.0000
0.3840 0.8840 0.5000
0.6160 0.1160 0.5000
0.2413 0.2413 0.0000
0.2962 0.5000 0.7962
0.7038 0.5000 0.2038
0.7587 0.7587 0.0000
0.0251 0.6943 0.3308
0.3635 0.6943 0.6692
0.6365 0.3057 0.3308
0.9749 0.3057 0.6692
```

=====

# 17
The following is a PBE calculation of a relaxed LiIn5Cu crystal, from Alexandria.

Symmetry: P4/mmm (123)
ΔH_f (0 K): -0.058 eV/atom
Theoretical density: 6.570 Mg/m³

POSCAR file:
```
LiIn5Cu
1.0
4.6346 0.0000 0.0000
0.0000 4.6346 0.0000
0.0000 0.0000 7.5842
Li In Cu
1 5 1
direct
0.0000 0.0000 0.0000
0.0000 0.5000 0.2918
0.0000 0.5000 0.7082
0.5000 0.0000 0.2918
0.5000 0.0000 0.7082
0.5000 0.5000 0.0000
0.0000 0.0000 0.5000
```

=====

# 18
The following is a PBE calculation of a relaxed LiIn2Cu crystal, from Alexandria.

Symmetry: I-42d (122)
ΔH_f (0 K): 0.117 eV/atom
Theoretical density: 5.725 Mg/m³

POSCAR file:
```
LiIn2Cu
1.0
-2.1532 2.1532 9.3869
2.1532 -2.1532 9.3869
2.1532 2.1532 -9.3869
Li In Cu
2 4 2
direct
0.0000 0.0000 0.0000
0.7500 0.2500 0.5000
0.1319 0.6250 0.0069
0.3750 0.3819 0.5069
0.6181 0.1250 0.9931
0.8750 0.8681 0.4931
0.2500 0.7500 0.5000
0.5000 0.5000 0.0000
```

=====

# 19
The following is a PBE calculation of a relaxed Li4InCu crystal, from Alexandria.

Symmetry: F-43m (216)
ΔH_f (0 K): 0.015 eV/atom
Theoretical density: 3.655 Mg/m³

POSCAR file:
```
Li4InCu
1.0
0.0000 3.6044 3.6044
3.6044 0.0000 3.6044
3.6044 3.6044 0.0000
Li In Cu
4 1 1
direct
0.1245 0.1245 0.1245
0.1245 0.1245 0.6264
0.1245 0.6264 0.1245
0.6264 0.1245 0.1245
0.5000 0.5000 0.5000
0.7500 0.7500 0.7500
```

=====

# 20
The following is a PBE calculation of a relaxed Li2In8Cu crystal, from Alexandria.

Symmetry: P4/mmm (123)
ΔH_f (0 K): -0.094 eV/atom
Theoretical density: 6.404 Mg/m³

POSCAR file:
```
Li2In8Cu
1.0
4.6238 0.0000 0.0000
0.0000 4.6238 0.0000
0.0000 0.0000 12.0794
Li In Cu
2 8 1
direct
0.0000 0.0000 0.1840
0.0000 0.0000 0.8160
0.0000 0.5000 0.0000
0.0000 0.5000 0.3696
0.0000 0.5000 0.6304
0.5000 0.0000 0.0000
0.5000 0.0000 0.3696
0.5000 0.0000 0.6304
0.5000 0.5000 0.1899
0.5000 0.5000 0.8101
0.0000 0.0000 0.5000
```